# Hf2TcMo

A relaxed Hf2TcMo crystal (GGA-PBE, the Alexandria database).

abc: 3.2795 3.2795 6.6269
angles: 90.00 90.00 90.00
Last column: nearest neighbours and their distance in Å.
Fractional positions:
Hf (0.0000, 0.0000, 0.7569)  4 Tc 2.82, 4 Mo 2.88
Tc (0.5000, 0.5000, 0.0000)  8 Hf 2.82
Hf (0.0000, 0.0000, 0.2431)  4 Tc 2.82, 4 Mo 2.88
Mo (0.5000, 0.5000, 0.5000)  8 Hf 2.88

Computed properties:
final energy: -10.52 eV per atom
density: 12.835 Mg/m³


# PaSnGe2

A relaxed PaSnGe2 crystal (GGA-PBE, the Alexandria database).

abc: 4.7330 4.7330 5.3556
angles: 63.78 63.78 60.00
Last column: nearest neighbours and their distance in Å.
Fractional positions:
Pa (0.5000, 0.5000, 0.5000)  8 Ge 3.05-3.26
Ge (0.7359, 0.7359, 0.7922)  3 Sn 2.90, 3 Pa 3.05
Sn (0.0000, 0.0000, 0.0000)  6 Ge 2.90
Ge (0.2641, 0.2641, 0.2078)  3 Sn 2.90, 3 Pa 3.05

Computed properties:
E above lowest polymorph: 141 kJ/mol of formula units
density: 9.199 Mg/m³


# Tb2TmAl3

A relaxed Tb2TmAl3 crystal (GGA-PBE, the Alexandria database).

abc: 3.5784 3.5784 10.8715
angles: 90.00 90.00 90.00
Last column: nearest neighbours and their distance in Å.
Fractional positions:
Al (0.0000, 0.0000, 0.0000)  8 Tb 3.13
Al (0.0000, 0.0000, 0.3398)  4 Tm 3.07, 4 Tb 3.14
Tb (0.5000, 0.5000, 0.1695)  8 Al 3.13-3.14
Al (0.0000, 0.0000, 0.6602)  4 Tm 3.07, 4 Tb 3.14
Tm (0.5000, 0.5000, 0.5000)  8 Al 3.07
Tb (0.5000, 0.5000, 0.8305)  8 Al 3.13-3.14

Computed properties:
E above lowest polymorph: 0 kJ/mol of formula units
density: 6.772 Mg/m³


# SiAsSeBr2

A relaxed SiAsSeBr2 crystal (GGA-PBE, the Alexandria database).

abc: 4.8345 4.8345 5.4014
angles: 90.00 90.00 90.00
Last column: nearest neighbours and their distance in Å.
Fractional positions:
Br (0.5000, 0.0000, 0.0000)  2 Si 2.42
Si (0.0000, 0.0000, 0.0000)  4 Br 2.42, 2 As 2.70
As (0.0000, 0.0000, 0.5000)  2 Si 2.70
Se (0.5000, 0.5000, 0.5000)  4 As 3.42, 8 Br 3.62
Br (0.0000, 0.5000, 0.0000)  2 Si 2.42

Computed properties:
E above lowest polymorph: 18 kJ/mol of formula units
density: 4.496 Mg/m³
formation energy (no corrections): 448 meV per atom


# K2BaAg2Cl6

A relaxed K2BaAg2Cl6 crystal (GGA-PBE, the Alexandria database).

abc: 7.9269 7.8572 7.7932
angles: 113.36 90.00 120.29
Last column: nearest neighbours and their distance in Å.
Fractional positions:
Cl (0.1665, 0.8423, 0.1634)  1 Ag 2.57
Cl (0.8335, 0.1577, 0.8366)  1 Ag 2.57
Ag (0.0558, 0.1116, 0.2153)  3 Cl 2.48-2.57
Cl (0.7416, 0.4831, 0.5693)  1 Ag 2.48
Ag (0.9442, 0.8884, 0.7847)  3 Cl 2.48-2.57
Cl (0.3242, 0.1577, 0.8366)  1 Ag 2.57
K (0.7353, 0.4706, 0.1645)  5 Cl 3.12-3.19
Ba (0.5000, 0.0000, 0.5000)  6 Cl 3.07-3.09
Cl (0.2584, 0.5169, 0.4307)  1 Ag 2.48
Cl (0.6758, 0.8423, 0.1634)  1 Ag 2.57
K (0.2647, 0.5294, 0.8355)  5 Cl 3.12-3.19

Computed properties:
density: 2.872 Mg/m³
formation energy (no corrections): -1524 meV per atom


# K2SbTe

A relaxed K2SbTe crystal (GGA-PBE, the Alexandria database).

abc: 5.8692 5.8692 5.8692
angles: 60.00 60.00 60.00
Last column: nearest neighbours and their distance in Å.
Fractional positions:
Sb (0.0000, 0.0000, 0.0000)  8 K 3.59
K (0.2500, 0.2500, 0.2500)  4 Te 3.59, 4 Sb 3.59
Te (0.5000, 0.5000, 0.5000)  8 K 3.59
K (0.7500, 0.7500, 0.7500)  4 Te 3.59, 4 Sb 3.59

Computed properties:
E above lowest polymorph: 92 kJ/mol of formula units
density: 3.805 Mg/m³
formation energy (no corrections): -302 meV per atom


# Tb5TmBi4

A relaxed Tb5TmBi4 crystal (GGA-PBE, the Alexandria database).

abc: 4.4041 8.4752 9.7562
angles: 106.28 103.04 90.00
Last column: nearest neighbours and their distance in Å.
Fractional positions:
Bi (0.3322, 0.9254, 0.6644)  1 Tm 3.07, 5 Tb 3.09-3.16
Tm (0.5000, 0.0000, 0.0000)  6 Bi 3.07
Bi (0.6678, 0.0746, 0.3356)  1 Tm 3.07, 5 Tb 3.09-3.16
Bi (0.0119, 0.2580, 0.0237)  4 Tb 3.06-3.21, 2 Tm 3.07
Bi (0.9881, 0.7420, 0.9763)  4 Tb 3.06-3.21, 2 Tm 3.07
Tb (0.5000, 0.5000, 0.0000)  4 Bi 3.06
Tb (0.8164, 0.6513, 0.6328)  3 Bi 3.13-3.15
Tb (0.8372, 0.1957, 0.6745)  4 Bi 3.09-3.21
Tb (0.1628, 0.8043, 0.3255)  4 Bi 3.09-3.21
Tb (0.1836, 0.3487, 0.3672)  3 Bi 3.13-3.15

Computed properties:
final energy: -4.79 eV per atom
density: 8.795 Mg/m³


# LuPuTlAg

A relaxed LuPuTlAg crystal (GGA-PBE, the Alexandria database).

abc: 5.2551 5.2551 5.2551
angles: 60.00 60.00 60.00
Last column: nearest neighbours and their distance in Å.
Fractional positions:
Pu (0.0000, 0.0000, 0.0000)  4 Tl 3.22, 4 Ag 3.22
Lu (0.5000, 0.5000, 0.5000)  4 Ag 3.22, 4 Tl 3.22
Tl (0.2500, 0.2500, 0.2500)  4 Pu 3.22, 4 Lu 3.22
Ag (0.7500, 0.7500, 0.7500)  4 Pu 3.22, 4 Lu 3.22

Computed properties:
final energy: -6.10 eV per atom
density: 11.832 Mg/m³